CoRe2Ir | PBE | relaxed

Output
calculated volume = 55.0 Å³/f.u.
excess energy over the best structure of this formula in the dataset = 116 meV per atom

Cell: 3.762 3.762 3.883 Å, 90.00 90.00 90.00°
Space group P4/mmm (No. 123)
One atom of each set of equivalent atoms:
Co 0.000 0.000 0.000 x1
Re 0.000 0.500 0.500 x2
Ir 0.500 0.500 0.000 x1

***

Co2ReIr | PBE | relaxed

Output
calculated volume = 53.0 Å³/f.u.

Cell: 5.963 5.963 5.963 Å, 90.00 90.00 90.00°
Space group F-43m (No. 216)
One atom of each set of equivalent atoms:
Co 0.000 0.000 0.000 x4
Co 0.250 0.250 0.250 x4
Re 0.000 0.000 0.500 x4
Ir 0.250 0.250 0.750 x4

***

Co2ReIr | PBE | relaxed

Output
calculated volume = 53.6 Å³/f.u.

Cell: 2.789 4.446 8.638 Å, 90.00 90.00 90.00°
Space group Cmmm (No. 65)
One atom of each set of equivalent atoms:
Co 0.000 0.000 0.248 x4
Re 0.000 0.500 0.000 x2
Ir 0.000 0.500 0.500 x2

***

CoReIr2 | PBE | relaxed

Output
calculated volume = 55.1 Å³/f.u.
excess energy over the best structure of this formula in the dataset = 59 meV per atom

Cell: 8.927 2.695 4.645 Å, 90.00 99.80 90.00°
Space group C2/m (No. 12)
One atom of each set of equivalent atoms:
Co 0.000 0.000 0.000 x2
Re 0.000 0.500 0.500 x2
Ir 0.250 0.000 0.754 x4

***

CoRe2Ir | PBE | relaxed

Output
calculated volume = 56.2 Å³/f.u.
excess energy over the best structure of this formula in the dataset = 441 meV per atom

Cell: 3.212 3.212 5.447 Å, 90.00 90.00 90.00°
Space group P4/mmm (No. 123)
One atom of each set of equivalent atoms:
Co 0.000 0.000 0.000 x1
Re 0.500 0.500 0.224 x2
Ir 0.000 0.000 0.500 x1

***

CoRe2Ir | PBE | relaxed

Output
calculated volume = 55.6 Å³/f.u.
excess energy over the best structure of this formula in the dataset = 183 meV per atom

Cell: 8.979 2.718 4.624 Å, 90.00 100.04 90.00°
Space group C2/m (No. 12)
One atom of each set of equivalent atoms:
Co 0.000 0.000 0.000 x2
Re 0.249 0.500 0.246 x4
Ir 0.000 0.500 0.500 x2

***

CoRe2Ir | PBE | relaxed

Output
calculated volume = 55.2 Å³/f.u.
excess energy over the best structure of this formula in the dataset = 128 meV per atom

Cell: 3.846 3.846 7.466 Å, 90.00 90.00 90.00°
Space group I-4m2 (No. 119)
One atom of each set of equivalent atoms:
Co 0.000 0.000 0.000 x2
Re 0.000 0.000 0.500 x2
Re 0.000 0.500 0.250 x2
Ir 0.000 0.500 0.750 x2

***

CoRe2Ir | PBE | relaxed

Output
calculated volume = 55.3 Å³/f.u.
excess energy over the best structure of this formula in the dataset = 143 meV per atom

Cell: 5.308 7.765 2.681 Å, 90.00 90.00 90.00°
Space group Cmmm (No. 65)
One atom of each set of equivalent atoms:
Co 0.000 0.000 0.000 x2
Re 0.250 0.250 0.500 x4
Ir 0.000 0.500 0.000 x2

***

Co2ReIr6 | PBE | relaxed

Output
calculated volume = 146.7 Å³/f.u.

Cell: 5.2753 5.2753 18.2589 Å, 90.00 90.00 120.00°
Space group R3m (No. 160, hexagonal axes)
One atom of each set of equivalent atoms:
Co 0.0000 0.0000 0.0000 x3
Co 0.0000 0.0000 0.1312 x3
Re 0.0000 0.0000 0.7422 x3
Ir 0.0108 0.5054 0.1798 x9
Ir 0.0140 0.5070 0.9669 x9

***

Co2ReIr | PBE | relaxed

Output
calculated volume = 53.1 Å³/f.u.

Cell: 2.624 4.260 4.771 Å, 90.00 95.06 90.00°
Space group P2/m (No. 10)
One atom of each set of equivalent atoms:
Co 0.167 0.000 0.255 x2
Re 0.000 0.500 0.500 x1
Ir 0.500 0.500 0.000 x1

***

Co2ReIr2 | PBE | relaxed

Output
calculated volume = 66.0 Å³/f.u.

Cell: 6.965 6.965 2.722 Å, 90.00 90.00 90.00°
Space group P4/mbm (No. 127)
One atom of each set of equivalent atoms:
Co 0.121 0.379 0.000 x4
Re 0.000 0.000 0.000 x2
Ir 0.176 0.676 0.500 x4

***

Co2ReIr | PBE | relaxed

Output
calculated volume = 50.5 Å³/f.u.

Cell: 3.730 3.730 3.631 Å, 90.00 90.00 90.00°
Space group P4/mmm (No. 123)
One atom of each set of equivalent atoms:
Co 0.000 0.500 0.000 x2
Re 0.000 0.000 0.500 x1
Ir 0.500 0.500 0.500 x1

***

no.,energy (eV/cell)
1,-41.02
2,-137.62
3,-68.79
4,-74.85
5,-39.72
6,-81.50
7,-81.94
8,-81.82
9,-224.94
10,-34.49
11,-86.93
12,-35.41